Below is a geometry-optimized Mg2GeB structure, with properties calculated at the GGA-PBE level.

```
Mg2GeB
1.0
3.490 0.000 0.000
0.000 1.993 4.593
0.000 -1.993 4.593
Mg Ge B
2 1 1
Cartesian
0.000 0.000 0.000
1.745 0.000 2.797
0.000 0.000 6.446
1.745 0.000 5.232
```

## Properties
Volume = 64 Å³/f.u.
Formation energy from the elements = 0.1155 eV per atom
Energy above the lowest structure with this stoichiometry = 1.49 kcal/mol of atoms
SG = No. 38

---

Below is a geometry-optimized Mg2GeB structure, with properties calculated at the GGA-PBE level.

```
Mg2GeB
1.0
4.879 0.000 0.000
1.819 4.899 0.000
1.423 1.519 5.663
Mg Ge B
4 2 2
Cartesian
0.000 0.000 0.000
2.699 4.338 2.926
2.455 1.585 0.979
3.630 1.465 3.698
5.073 3.716 4.131
4.540 3.303 0.705
1.230 1.987 3.216
5.207 1.569 1.868
```

## Properties
Volume = 68 Å³/f.u.
Formation energy from the elements = 0.1328 eV per atom
Energy above the lowest structure with this stoichiometry = 1.89 kcal/mol of atoms
SG = No. 1

---

Below is a geometry-optimized Mg2GeB structure, with properties calculated at the GGA-PBE level.

```
Mg2GeB
1.0
4.333 0.000 0.000
1.388 5.371 0.000
0.296 1.798 5.795
Mg Ge B
4 2 2
Cartesian
0.000 0.000 0.000
1.579 5.810 3.046
1.408 2.426 0.847
2.554 2.803 3.813
3.766 5.546 4.928
3.677 4.560 1.645
4.799 3.737 4.497
4.745 3.149 2.936
```

## Properties
Volume = 67 Å³/f.u.
Formation energy from the elements = 0.1076 eV per atom
Energy above the lowest structure with this stoichiometry = 1.31 kcal/mol of atoms
SG = No. 1

---

Below is a geometry-optimized Mg2GeB structure, with properties calculated at the GGA-PBE level.

```
Mg2GeB
1.0
-4.246 4.246 2.150
4.246 -4.246 2.150
4.246 4.246 -2.150
Mg Ge B
4 2 2
Cartesian
0.902 2.123 0.537
-2.123 3.344 1.612
-0.902 6.368 0.537
2.123 5.148 1.612
4.246 0.000 1.075
0.000 0.000 2.150
0.000 0.000 0.000
0.000 4.246 1.075
```

## Properties
Volume = 77 Å³/f.u.
Formation energy from the elements = 0.4479 eV per atom
Energy above the lowest structure with this stoichiometry = 9.15 kcal/mol of atoms
SG = No. 122

---

Below is a geometry-optimized Mg2GeB structure, with properties calculated at the GGA-PBE level.

```
Mg2GeB
1.0
4.439 0.000 0.000
1.228 4.736 0.000
0.146 1.754 6.591
Mg Ge B
4 2 2
Cartesian
0.000 0.000 0.000
0.510 1.836 2.753
1.670 4.103 4.624
3.450 2.843 0.395
2.443 1.459 4.721
4.046 4.489 2.675
1.233 2.027 0.438
2.144 0.904 1.096
```

## Properties
Volume = 69 Å³/f.u.
Formation energy from the elements = 0.1154 eV per atom
Energy above the lowest structure with this stoichiometry = 1.48 kcal/mol of atoms
SG = No. 1

---

Below is a geometry-optimized MgGeB3 structure, with properties calculated at the GGA-PBE level.

```
MgGeB3
1.0
4.175 0.000 0.000
0.000 4.175 0.000
0.000 0.000 4.175
Mg Ge B
1 1 3
Cartesian
0.000 0.000 0.000
2.088 2.088 2.088
0.000 2.088 2.088
2.088 0.000 2.088
2.088 2.088 0.000
```

## Properties
Volume = 73 Å³/f.u.
Formation energy from the elements = 1.6678 eV per atom
Energy above the lowest structure with this stoichiometry = 0.00 kcal/mol of atoms
SG = No. 221